# 1
Density functional theory data (PBE) for an optimized crystal structure of ZnGePRh.

The structure belongs to space group Cm (No. 8); the cell edges are 8.149, 2.876 and 6.258 Å and the angles 90.00°, 111.90° and 90.00°. The inequivalent atoms are Zn at (0.000, 0.000, 0.000), Ge at (0.170, 0.500, 0.780), P at (0.413, 0.000, 0.421) and Rh at (0.181, 0.500, 0.360).

The value obtained for the total energy is -4.8262 eV per atom. The distance to the lowest polymorph of the same formula comes out at 63 meV per atom. The calculation puts the volume at 17.0 Å³ per atom. The energy of formation comes out at -0.163 eV per atom. For the magnetic moment, the calculation gives 0.0 μB per formula unit. The density of states at the Fermi level is 0.33 states/eV per atom.


# 2
Density functional theory data (PBE) for an optimized crystal structure of ZnGePRh.

The structure belongs to space group Amm2 (No. 38); the cell edges are 3.789, 2.818 and 12.717 Å and the angles 90.00°, 90.00° and 90.00°. The inequivalent atoms are Zn at (0.000, 0.000, 0.000), Ge at (0.500, 0.000, 0.598), P at (0.500, 0.000, 0.786) and Rh at (0.000, 0.000, 0.325).

The value obtained for the total energy is -4.7751 eV per atom. The distance to the lowest polymorph of the same formula comes out at 114 meV per atom. The calculation puts the volume at 17.0 Å³ per atom. The energy of formation comes out at -0.112 eV per atom. For the magnetic moment, the calculation gives 0.0 μB per formula unit. The density of states at the Fermi level is 0.60 states/eV per atom.


# 3
Density functional theory data (PBE) for an optimized crystal structure of ZnGePRh.

The structure belongs to space group Cm (No. 8); the cell edges are 5.726, 3.225 and 7.757 Å and the angles 90.00°, 104.51° and 90.00°. The inequivalent atoms are Zn at (0.000, 0.000, 0.000), Ge at (0.247, 0.000, 0.753), P at (0.105, 0.000, 0.313) and Rh at (0.332, 0.500, 0.484).

The value obtained for the total energy is -4.8350 eV per atom. The distance to the lowest polymorph of the same formula comes out at 54 meV per atom. The calculation puts the volume at 17.3 Å³ per atom. The energy of formation comes out at -0.172 eV per atom. For the magnetic moment, the calculation gives 0.0 μB per formula unit. The density of states at the Fermi level is 0.23 states/eV per atom.


# 4
Density functional theory data (PBE) for an optimized crystal structure of ZnGePRh.

The structure belongs to space group P3m1 (No. 156); the cell edges are 3.2646, 3.2646 and 7.5051 Å and the angles 90.00°, 90.00° and 120.00°. The inequivalent atoms are Zn at (0.0000, 0.0000, 0.0000), Ge at (0.6667, 0.3333, 0.7575), P at (0.0000, 0.0000, 0.3133) and Rh at (0.3333, 0.6667, 0.4821).

The value obtained for the total energy is -4.8662 eV per atom. The distance to the lowest polymorph of the same formula comes out at 23 meV per atom. The calculation puts the volume at 17.3 Å³ per atom. The energy of formation comes out at -0.203 eV per atom. For the magnetic moment, the calculation gives 0.0 μB per formula unit. The density of states at the Fermi level is 0.19 states/eV per atom.


# 5
Density functional theory data (PBE) for an optimized crystal structure of ZnGePRh.

The structure belongs to space group Pm (No. 6); the cell edges are 2.860, 3.091 and 7.710 Å and the angles 90.00°, 90.19° and 90.00°. The inequivalent atoms are Zn at (0.000, 0.000, 0.000), Ge at (0.495, 0.500, 0.775), P at (0.002, 0.000, 0.305) and Rh at (0.503, 0.500, 0.448).

The value obtained for the total energy is -4.8355 eV per atom. The distance to the lowest polymorph of the same formula comes out at 53 meV per atom. The calculation puts the volume at 17.0 Å³ per atom. The energy of formation comes out at -0.172 eV per atom. For the magnetic moment, the calculation gives 0.0 μB per formula unit. The density of states at the Fermi level is 0.31 states/eV per atom.


# 6
Density functional theory data (PBE) for an optimized crystal structure of ZnGePRh.

The structure belongs to space group P1 (No. 1); the cell edges are 3.769, 4.658 and 4.659 Å and the angles 117.41°, 90.53° and 110.99°. The inequivalent atoms are Zn at (0.000, 0.000, 0.000), Ge at (0.356, 0.794, 0.402), P at (0.589, 0.406, 0.932) and Rh at (0.707, 0.407, 0.435).

The value obtained for the total energy is -4.7814 eV per atom. The distance to the lowest polymorph of the same formula comes out at 107 meV per atom. The calculation puts the volume at 16.6 Å³ per atom. The energy of formation comes out at -0.118 eV per atom. For the magnetic moment, the calculation gives 0.0 μB per formula unit. The density of states at the Fermi level is 0.40 states/eV per atom.